Compound: Tl2HgMo
Source: Alexandria via LeMat-Bulk
Functional: meta-GGA SCAN
Structure: PBEsol geometry

Computed properties:
Fermi-level density of states: 0.48 states/eV/atom
Energy: -61.422 eV per atom
Calculated volume: 23.57 Å³ per atom
Magnetic moment: 0.73 μB/f.u.
Energy relative to the lowest polymorph listed for this composition: 0.000 eV/atom
Energy relative to the elements: 0.520 eV/atom

Structure (POSCAR):
```
Tl2HgMo
1.0
2.9343 0.0000 0.0000
0.0000 4.8161 -0.0066
-1.4672 -2.4043 6.6737
Tl Mo Hg
2 1 1
Cartesian
1.4672 2.4087 5.8366
1.4672 0.0022 3.2737
0.0000 2.4104 3.3326
1.4672 2.4106 0.8882
```